BaCu3Os | GGA-PBE | relaxed

Spin magnetization ... 0.000 μB/f.u.
Formation energy ... 0.5541 eV per atom
Symmetry ... No. 221

abc: 4.8175 4.8175 4.8175
angles: 90.00 90.00 90.00
Last column: nearest neighbours and their distance in Å.
Atoms (fractional coordinates):
Os (0.0000, 0.0000, 0.0000)  6 Cu 2.41
Ba (0.5000, 0.5000, 0.5000)  12 Cu 3.41
Cu (0.0000, 0.5000, 0.0000)  2 Os 2.41
Cu (0.0000, 0.0000, 0.5000)  2 Os 2.41
Cu (0.5000, 0.0000, 0.0000)  2 Os 2.41

***

MnNiBi | GGA-PBE | relaxed

Spin magnetization ... 3.950 μB/f.u.
Formation energy ... 0.3577 eV per atom
Symmetry ... No. 187

abc: 4.2294 4.2294 3.5534
angles: 90.00 90.00 120.00
Last column: nearest neighbours and their distance in Å.
Atoms (fractional coordinates):
Mn (0.0000, 0.0000, 0.5000)  3 Ni 2.44
Ni (0.6667, 0.3333, 0.5000)  3 Mn 2.44
Bi (0.3333, 0.6667, 0.0000)  6 Ni 3.02, 6 Mn 3.02

***

Tb3ScCu4 | GGA-PBE | relaxed

Spin magnetization ... 0.000 μB/f.u.
Formation energy ... -0.2393 eV per atom
Symmetry ... No. 123

abc: 3.4329 3.4329 13.6676
angles: 90.00 90.00 90.00
Last column: nearest neighbours and their distance in Å.
Atoms (fractional coordinates):
Sc (0.5000, 0.5000, 0.0000)  8 Cu 2.83
Tb (0.5000, 0.5000, 0.2422)  8 Cu 3.01-3.06, 1 Sc 3.31
Tb (0.5000, 0.5000, 0.5000)  8 Cu 2.99
Tb (0.5000, 0.5000, 0.7578)  8 Cu 3.01-3.06, 1 Sc 3.31
Cu (0.0000, 0.0000, 0.8936)  4 Sc 2.83, 1 Cu 2.91, 4 Tb 3.06
Cu (0.0000, 0.0000, 0.1064)  4 Sc 2.83, 1 Cu 2.91, 4 Tb 3.06
Cu (0.0000, 0.0000, 0.3724)  8 Tb 2.99-3.01
Cu (0.0000, 0.0000, 0.6276)  8 Tb 2.99-3.01

***

PmPrDy | GGA-PBE | relaxed

Spin magnetization ... 0.000 μB/f.u.
Formation energy ... 0.0136 eV per atom
Symmetry ... No. 164

abc: 3.6440 3.6441 17.7264
angles: 90.01 90.01 60.00
Last column: nearest neighbours and their distance in Å.
Atoms (fractional coordinates):
Pm (0.0620, 0.5059, 0.8530)  3 Dy 3.58, 6 Pm 3.64, 3 Pr 3.69
Pm (0.0618, 0.5055, 0.3656)  3 Dy 3.58, 6 Pm 3.64, 3 Pr 3.69
Pr (0.3951, 0.8385, 0.1948)  9 Pr 3.64-3.69, 3 Pm 3.69
Pr (0.7290, 0.1728, 0.0238)  9 Pr 3.64-3.69, 3 Pm 3.69
Dy (0.3952, 0.8388, 0.5290)  9 Dy 3.54-3.64, 3 Pm 3.58
Dy (0.7285, 0.1725, 0.6896)  9 Dy 3.54-3.64, 3 Pm 3.58

***

Sm2HoAg5 | GGA-PBE | relaxed

Spin magnetization ... 0.000 μB/f.u.
Formation energy ... -0.2178 eV per atom
Symmetry ... No. 139

abc: 5.1064 5.1064 7.9943
angles: 108.63 108.63 90.00
Last column: nearest neighbours and their distance in Å.
Atoms (fractional coordinates):
Sm (0.7319, 0.7319, 0.4639)  9 Ag 3.05-3.36
Sm (0.2681, 0.2681, 0.5361)  9 Ag 3.05-3.36
Ho (0.0000, 0.0000, 0.0000)  8 Ag 3.03
Ag (0.5000, 0.5000, 0.0000)  8 Ag 3.03, 2 Sm 3.31
Ag (0.8853, 0.3853, 0.7706)  3 Ag 3.03-3.27, 2 Ho 3.03, 4 Sm 3.05-3.36
Ag (0.3853, 0.8853, 0.7706)  3 Ag 3.03-3.27, 2 Ho 3.03, 4 Sm 3.05-3.36
Ag (0.1147, 0.6147, 0.2294)  2 Ho 3.03, 3 Ag 3.03-3.27, 4 Sm 3.05-3.36
Ag (0.6147, 0.1147, 0.2294)  2 Ho 3.03, 3 Ag 3.03-3.27, 4 Sm 3.05-3.36

***

PaTi2Se3 | GGA-PBE | relaxed

Spin magnetization ... 0.777 μB/f.u.
Formation energy without anion corrections ... -90 kJ/mol of atoms
Symmetry ... No. 12

abc: 3.5224 7.3089 10.0335
angles: 81.43 100.11 90.00
Last column: nearest neighbours and their distance in Å.
Atoms (fractional coordinates):
Pa (0.3291, 0.9748, 0.6582)  6 Se 2.91-3.01, 2 Ti 3.12
Pa (0.6709, 0.0252, 0.3418)  6 Se 2.91-3.01, 2 Ti 3.12
Ti (0.3298, 0.4597, 0.6596)  6 Se 2.57-2.69
Ti (0.6702, 0.5403, 0.3404)  6 Se 2.57-2.69
Ti (0.9597, 0.8683, 0.9195)  4 Se 2.50-2.77, 1 Ti 2.68
Ti (0.0403, 0.1317, 0.0805)  4 Se 2.50-2.77, 1 Ti 2.68
Se (0.2232, 0.2978, 0.4464)  3 Ti 2.57-2.60
Se (0.1011, 0.7768, 0.2021)  4 Ti 2.69-2.77, 2 Pa 3.01
Se (0.4334, 0.6465, 0.8667)  3 Ti 2.50-2.63
Se (0.7768, 0.7022, 0.5536)  3 Ti 2.57-2.60
Se (0.5666, 0.3535, 0.1333)  3 Ti 2.50-2.63
Se (0.8989, 0.2232, 0.7979)  4 Ti 2.69-2.77, 2 Pa 3.01

***

Li4Dy3PuSe8 | GGA-PBE | relaxed

Spin magnetization ... 5.000 μB/f.u.
Formation energy without anion corrections ... -155 kJ/mol of atoms
Symmetry ... No. 166

abc: 8.1765 8.0259 8.1754
angles: 120.65 120.00 90.00
Last column: nearest neighbours and their distance in Å.
Atoms (fractional coordinates):
Li (0.5000, 0.0000, 0.0000)  6 Se 2.83
Li (0.5000, 0.0000, 0.5000)  6 Se 2.85-2.86
Li (0.0000, 0.0000, 0.0000)  6 Se 2.85-2.86
Li (0.0000, 0.0000, 0.5000)  6 Se 2.85-2.86
Dy (0.5000, 0.5000, 0.0000)  6 Se 2.87-2.88
Dy (0.5000, 0.5000, 0.5000)  6 Se 2.87-2.88
Dy (0.0000, 0.5000, 0.5000)  6 Se 2.87-2.88
Pu (0.0000, 0.5000, 0.0000)  6 Se 2.90
Se (0.2532, 0.7539, 0.0012)  3 Li 2.83-2.86, 2 Dy 2.87, 1 Pu 2.90
Se (0.2531, 0.7539, 0.5063)  3 Li 2.83-2.86, 2 Dy 2.87, 1 Pu 2.90
Se (0.2488, 0.2466, 0.4975)  3 Li 2.85, 3 Dy 2.88
Se (0.7480, 0.7539, 0.0012)  3 Li 2.83-2.86, 2 Dy 2.87, 1 Pu 2.90
Se (0.2520, 0.2461, 0.9988)  3 Li 2.83-2.86, 2 Dy 2.87, 1 Pu 2.90
Se (0.7512, 0.7534, 0.5025)  3 Li 2.85, 3 Dy 2.88
Se (0.7469, 0.2461, 0.4937)  3 Li 2.83-2.86, 2 Dy 2.87, 1 Pu 2.90
Se (0.7468, 0.2461, 0.9988)  3 Li 2.83-2.86, 2 Dy 2.87, 1 Pu 2.90

***

K3RbTl3 | GGA-PBE | relaxed

Spin magnetization ... 0.000 μB/f.u.
Formation energy ... -0.0616 eV per atom
Symmetry ... No. 166

abc: 9.1350 9.1350 10.9612
angles: 65.37 65.37 60.00
Last column: nearest neighbours and their distance in Å.
Atoms (fractional coordinates):
K (0.4017, 0.8956, 0.8069)  4 Tl 3.77
K (0.8956, 0.8957, 0.8069)  4 Tl 3.77
K (0.8957, 0.4017, 0.8069)  4 Tl 3.77
K (0.1043, 0.5983, 0.1931)  4 Tl 3.77
K (0.1044, 0.1043, 0.1931)  4 Tl 3.77
K (0.5983, 0.1044, 0.1931)  4 Tl 3.77
Rb (0.5752, 0.5752, 0.2745)  6 Tl 4.01-4.03, 1 Rb 4.33
Rb (0.4248, 0.4248, 0.7255)  6 Tl 4.01-4.03, 1 Rb 4.33
Tl (0.2855, 0.2855, 0.5020)  4 Tl 3.28-3.38
Tl (0.9269, 0.2855, 0.5020)  4 Tl 3.28-3.38
Tl (0.2855, 0.9269, 0.5020)  4 Tl 3.28-3.38
Tl (0.7145, 0.0731, 0.4980)  4 Tl 3.28-3.38
Tl (0.0731, 0.7145, 0.4980)  4 Tl 3.28-3.38
Tl (0.7145, 0.7145, 0.4980)  4 Tl 3.28-3.38